Here is a relaxed Er2Si3Ru crystal from Alexandria via LeMat-Bulk. Energies are from PBE-GGA.

Output
Energy ... -6.504 eV/atom
Magnetic moment ... 0.000 μB per atom
Space-group type ... No. 69
Formation energy without anion corrections ... -0.7260 eV per atom

POSCAR file:
```
Er2Si3Ru
1.0
-3.9204 1.9045 -3.6289
-3.8281 -2.7204 3.1797
3.0349 6.2054 4.1740
Er Si Ru
4 6 2
Direct
0.2500 0.7500 0.5000 Er
0.7422 0.7422 0.0000 Er
0.7500 0.2500 0.5000 Er
0.2578 0.2578 0.0000 Er
0.6661 0.1661 0.8323 Si
0.8339 0.3339 0.1677 Si
0.3339 0.8339 0.1677 Si
0.1661 0.6661 0.8323 Si
0.8328 0.8328 0.6656 Si
0.1672 0.1672 0.3344 Si
0.3342 0.3342 0.6683 Ru
0.6658 0.6658 0.3317 Ru
```